This record from OQMD via LeMat-Bulk describes a relaxed structure of ZrCuHgGe. The functional is GGA-PBE.

Properties
calculated volume = 73.8 Å³/cell
magnetization = 0.0 Bohr magnetons per cell
offset from the most stable computed form = 0.000 eV per atom
total DFT energy (no corrections) = -17.071 eV for the cell shown

Cell: 4.7081 4.7081 4.7081 Å, 60.00 60.00 60.00°
Closest atoms and distances in Å follow each position.
Element x y z (fractional)
Hg: 0.5000 0.5000 0.5000  4 Zr 2.88, 4 Cu 2.88
Ge: 0.0000 0.0000 0.0000  4 Zr 2.88, 4 Cu 2.88
Cu: 0.7500 0.7500 0.7500  4 Hg 2.88, 4 Ge 2.88
Zr: 0.2500 0.2500 0.2500  4 Hg 2.88, 4 Ge 2.88